This record from Alexandria describes crystalline PaH2Pd at its relaxed geometry. The functional is GGA-PBE.

Values from the calculation:
Spin magnetization: 0.00 μB per cell
Crystal system: trigonal
Polymorph energy (0 for the lowest one): 133 meV per atom

Lattice parameters (Å, degrees): 3.2140 3.2140 6.1313 74.81 74.81 60.00
With the nearest neighbours (Å) after each atom.
Fractional positions:
1 H 0.0973 0.0973 0.7080  1 Pd 1.71
2 H 0.9027 0.9027 0.2920  1 Pd 1.71
3 Pd 0.0000 0.0000 0.0000  2 H 1.71
4 Pa 0.5000 0.5000 0.5000  6 H 2.22